#1
DFT (PBE) results for a relaxed structure of TaAl2Os2.

The space group is Cmmm (No. 65) and the conventional cell measures 2.998, 17.599 and 3.072 Å, with angles of 90.00, 90.00 and 90.00 degrees. The distinct sites, in fractional coordinates, are Ta at (0.000, 0.000, 0.000), Al at (0.000, 0.181, 0.000) and Os at (0.000, 0.403, 0.500).

The value obtained for the calculated volume is 16.21 Å³/atom. For the total magnetization, the calculation gives 0.00 μB/f.u.

=====

#2
DFT (PBE) results for a relaxed structure of TaAl2Os2.

The space group is P4/mbm (No. 127) and the conventional cell measures 7.145, 7.145 and 3.029 Å, with angles of 90.00, 90.00 and 90.00 degrees. The distinct sites, in fractional coordinates, are Ta at (0.000, 0.000, 0.000), Al at (0.149, 0.351, 0.500) and Os at (0.148, 0.648, 0.000).

The value obtained for the calculated volume is 15.46 Å³/atom. For the total magnetization, the calculation gives 0.00 μB/f.u.

=====

#3
DFT (PBE) results for a relaxed structure of TaAl2Os2.

The space group is P4/mbm (No. 127) and the conventional cell measures 7.250, 7.250 and 2.864 Å, with angles of 90.00, 90.00 and 90.00 degrees. The distinct sites, in fractional coordinates, are Ta at (0.000, 0.000, 0.000), Al at (0.123, 0.377, 0.000) and Os at (0.176, 0.676, 0.500).

The value obtained for the calculated volume is 15.05 Å³/atom. For the total magnetization, the calculation gives 0.00 μB/f.u.

=====

Q: Which of them is the most stable? A: #1.

=====

#1
DFT (PBE) results for a relaxed structure of Ta3AlOs.

The space group is Pm-3m (No. 221) and the conventional cell measures 4.590, 4.590 and 4.590 Å, with angles of 90.00, 90.00 and 90.00 degrees. The distinct sites, in fractional coordinates, are Ta at (0.000, 0.000, 0.500), Al at (0.000, 0.000, 0.000) and Os at (0.500, 0.500, 0.500).

The value obtained for the calculated volume is 19.35 Å³/atom. For the total magnetization, the calculation gives 0.00 μB/f.u.

=====

#2
DFT (PBE) results for a relaxed structure of Ta3AlOs.

The space group is Pm-3m (No. 221) and the conventional cell measures 4.839, 4.839 and 4.839 Å, with angles of 90.00, 90.00 and 90.00 degrees. The distinct sites, in fractional coordinates, are Ta at (0.000, 0.000, 0.500), Al at (0.500, 0.500, 0.500) and Os at (0.000, 0.000, 0.000).

The value obtained for the calculated volume is 22.66 Å³/atom. For the total magnetization, the calculation gives 0.00 μB/f.u.

=====

Q: Which of them is the most stable? A: #2.

=====

#1
DFT (PBE) results for a relaxed structure of Ta2AlOs2.

The space group is P4/mbm (No. 127) and the conventional cell measures 7.691, 7.691 and 2.969 Å, with angles of 90.00, 90.00 and 90.00 degrees. The distinct sites, in fractional coordinates, are Ta at (0.150, 0.350, 0.000), Al at (0.000, 0.000, 0.000) and Os at (0.142, 0.642, 0.500).

The value obtained for the calculated volume is 17.56 Å³/atom. For the total magnetization, the calculation gives 0.00 μB/f.u.

=====

#2
DFT (PBE) results for a relaxed structure of Ta2AlOs2.

The space group is P4/mbm (No. 127) and the conventional cell measures 7.475, 7.475 and 3.066 Å, with angles of 90.00, 90.00 and 90.00 degrees. The distinct sites, in fractional coordinates, are Ta at (0.161, 0.339, 0.000), Al at (0.000, 0.000, 0.500) and Os at (0.137, 0.637, 0.500).

The value obtained for the calculated volume is 17.13 Å³/atom. For the total magnetization, the calculation gives 0.00 μB/f.u.

=====

Q: Which of them is the most stable? A: #2.

=====

#1
DFT (PBE) results for a relaxed structure of AlTc3Os.

The space group is Pm-3m (No. 221) and the conventional cell measures 4.335, 4.335 and 4.335 Å, with angles of 90.00, 90.00 and 90.00 degrees. The distinct sites, in fractional coordinates, are Al at (0.000, 0.000, 0.000), Tc at (0.000, 0.000, 0.500) and Os at (0.500, 0.500, 0.500).

The value obtained for the calculated volume is 16.29 Å³/atom. For the total magnetization, the calculation gives 0.00 μB/f.u.

=====

#2
DFT (PBE) results for a relaxed structure of AlTc3Os.

The space group is Pm-3m (No. 221) and the conventional cell measures 4.681, 4.681 and 4.681 Å, with angles of 90.00, 90.00 and 90.00 degrees. The distinct sites, in fractional coordinates, are Al at (0.000, 0.000, 0.000), Tc at (0.000, 0.500, 0.500) and Os at (0.500, 0.500, 0.500).

The value obtained for the calculated volume is 20.52 Å³/atom. For the total magnetization, the calculation gives 1.44 μB/f.u.

=====

Q: Which of them is the most stable? A: #1.